[1]
Here is a geometry-optimized Er5HgRh2 structure from Alexandria. Energies are from PBE.

Magnetic moment: 0.00 Bohr magnetons per cell
Energy relative to the elements: -0.67 eV/atom
Space-group type: No. 140
Total DFT energy (no corrections): -5.3974 eV/atom
Fermi-level density of states: 0.493 states/eV/atom

Structure (CIF):
```
data_Er5HgRh2
_chemical_formula_sum 'Er10 Hg2 Rh4'
_symmetry_space_group_name_H-M 'P 1'
_symmetry_Int_Tables_number 1
_cell_length_a 8.592
_cell_length_b 8.592
_cell_length_c 8.592
_cell_angle_alpha 127.12
_cell_angle_beta 127.12
_cell_angle_gamma 78.05
loop_
_symmetry_equiv_pos_as_xyz
'x,y,z'
loop_
_atom_site_label
_atom_site_type_symbol
_atom_site_fract_x
_atom_site_fract_y
_atom_site_fract_z
Er1 Er 0.000 0.000 0.000
Er2 Er 0.024 0.524 0.820
Er3 Er 0.203 0.024 0.500
Er4 Er 0.297 0.797 0.820
Er5 Er 0.476 0.297 0.500
Er6 Er 0.500 0.500 0.000
Er7 Er 0.524 0.703 0.500
Er8 Er 0.703 0.203 0.180
Er9 Er 0.797 0.976 0.500
Er10 Er 0.976 0.476 0.180
Hg1 Hg 0.250 0.250 0.000
Hg2 Hg 0.750 0.750 0.000
Rh1 Rh 0.140 0.360 0.500
Rh2 Rh 0.360 0.860 0.220
Rh3 Rh 0.640 0.140 0.780
Rh4 Rh 0.860 0.640 0.500
```

=====

[2]
Here is a geometry-optimized Sr2SbH2 structure from Alexandria. Energies are from PBE.

Magnetic moment: 0.00 Bohr magnetons per cell
Space-group type: No. 123
Total DFT energy (no corrections): -3.4183 eV/atom
Excess energy over the best structure of this formula in the dataset: 146 meV/atom
Fermi-level density of states: 0.274 states/eV/atom

Structure (CIF):
```
data_Sr2SbH2
_chemical_formula_sum 'Sr2 Sb1 H2'
_symmetry_space_group_name_H-M 'P 1'
_symmetry_Int_Tables_number 1
_cell_length_a 3.883
_cell_length_b 3.883
_cell_length_c 7.589
_cell_angle_alpha 90.00
_cell_angle_beta 90.00
_cell_angle_gamma 90.00
loop_
_symmetry_equiv_pos_as_xyz
'x,y,z'
loop_
_atom_site_label
_atom_site_type_symbol
_atom_site_fract_x
_atom_site_fract_y
_atom_site_fract_z
Sr1 Sr 0.000 0.000 0.214
Sr2 Sr 0.000 0.000 0.786
Sb1 Sb 0.500 0.500 0.500
H1 H 0.000 0.500 0.000
H2 H 0.500 0.000 0.000
```

=====

[3]
Here is a geometry-optimized Tm5Sc2Ge4 structure from Alexandria. Energies are from PBE.

Magnetic moment: 0.00 Bohr magnetons per cell
Energy relative to the elements: -0.34 eV/atom
Space-group type: No. 12
Total DFT energy (no corrections): -5.1979 eV/atom
Fermi-level density of states: 1.005 states/eV/atom

Structure (CIF):
```
data_Tm5Sc2Ge4
_chemical_formula_sum 'Tm5 Sc2 Ge4'
_symmetry_space_group_name_H-M 'P 1'
_symmetry_Int_Tables_number 1
_cell_length_a 12.416
_cell_length_b 12.416
_cell_length_c 6.755
_cell_angle_alpha 90.29
_cell_angle_beta 90.29
_cell_angle_gamma 15.58
loop_
_symmetry_equiv_pos_as_xyz
'x,y,z'
loop_
_atom_site_label
_atom_site_type_symbol
_atom_site_fract_x
_atom_site_fract_y
_atom_site_fract_z
Tm1 Tm 0.000 0.000 0.000
Tm2 Tm 0.264 0.264 0.762
Tm3 Tm 0.366 0.366 0.178
Tm4 Tm 0.634 0.634 0.822
Tm5 Tm 0.736 0.736 0.238
Sc1 Sc 0.410 0.410 0.685
Sc2 Sc 0.590 0.590 0.315
Ge1 Ge 0.171 0.171 0.496
Ge2 Ge 0.475 0.475 0.339
Ge3 Ge 0.525 0.525 0.661
Ge4 Ge 0.829 0.829 0.504
```

=====

[4]
Here is a geometry-optimized LiZnInBi structure from Alexandria. Energies are from PBE.

Magnetic moment: 0.00 Bohr magnetons per cell
Energy relative to the elements: -0.06 eV/atom
Space-group type: No. 216
Total DFT energy (no corrections): -2.5124 eV/atom
Fermi-level density of states: 0.619 states/eV/atom

Structure (CIF):
```
data_LiZnInBi
_chemical_formula_sum 'Li4 Zn4 In4 Bi4'
_symmetry_space_group_name_H-M 'P 1'
_symmetry_Int_Tables_number 1
_cell_length_a 7.211
_cell_length_b 7.211
_cell_length_c 7.211
_cell_angle_alpha 90.00
_cell_angle_beta 90.00
_cell_angle_gamma 90.00
loop_
_symmetry_equiv_pos_as_xyz
'x,y,z'
loop_
_atom_site_label
_atom_site_type_symbol
_atom_site_fract_x
_atom_site_fract_y
_atom_site_fract_z
Li1 Li 0.000 0.000 0.000
Li2 Li 0.000 0.500 0.500
Li3 Li 0.500 0.000 0.500
Li4 Li 0.500 0.500 0.000
Zn1 Zn 0.000 0.000 0.500
Zn2 Zn 0.000 0.500 0.000
Zn3 Zn 0.500 0.000 0.000
Zn4 Zn 0.500 0.500 0.500
In1 In 0.250 0.250 0.250
In2 In 0.250 0.750 0.750
In3 In 0.750 0.250 0.750
In4 In 0.750 0.750 0.250
Bi1 Bi 0.250 0.250 0.750
Bi2 Bi 0.250 0.750 0.250
Bi3 Bi 0.750 0.250 0.250
Bi4 Bi 0.750 0.750 0.750
```